Record 1
# ZnTc2W | Alexandria | PBE | optimized geometry
# * uncorrected energy: -34.38 eV per formula unit
# * spin magnetization: 0.00 μB per formula unit
# * energy relative to the elements: 0.14 eV/atom
data_ZnTc2W
_cell_length_a 2.688
_cell_length_b 4.286
_cell_length_c 5.308
_cell_angle_alpha 90.00
_cell_angle_beta 101.49
_cell_angle_gamma 90.00
_symmetry_space_group_name_H-M 'P 1'
_symmetry_Int_Tables_number 1
_symmetry_space_group_name_Hall 'P 1'
loop_
_atom_site_label
_atom_site_type_symbol
_atom_site_fract_x
_atom_site_fract_y
_atom_site_fract_z
_atom_site_occupancy
Zn1 Zn 0.000 0.000 0.000 1
Tc1 Tc 0.302 0.500 0.757 1
Tc2 Tc 0.698 0.500 0.243 1
W1 W 0.500 0.000 0.500 1

=====

Record 2
# ZnTc2W | Alexandria | PBE | optimized geometry
# * uncorrected energy: -34.06 eV per formula unit
# * spin magnetization: 0.00 μB per formula unit
# * energy relative to the elements: 0.23 eV/atom
data_ZnTc2W
_cell_length_a 3.103
_cell_length_b 4.380
_cell_length_c 8.878
_cell_angle_alpha 90.00
_cell_angle_beta 90.00
_cell_angle_gamma 90.00
_symmetry_space_group_name_H-M 'P 1'
_symmetry_Int_Tables_number 1
_symmetry_space_group_name_Hall 'P 1'
loop_
_atom_site_label
_atom_site_type_symbol
_atom_site_fract_x
_atom_site_fract_y
_atom_site_fract_z
_atom_site_occupancy
Zn1 Zn 0.000 0.000 0.000 1
Zn2 Zn 0.500 0.500 0.000 1
Tc1 Tc 0.000 0.000 0.492 1
Tc2 Tc 0.000 0.500 0.249 1
Tc3 Tc 0.500 0.000 0.249 1
Tc4 Tc 0.500 0.500 0.492 1
W1 W 0.000 0.500 0.743 1
W2 W 0.500 0.000 0.743 1

=====

Record 3
# ZnTcW2 | Alexandria | PBE | optimized geometry
# * uncorrected energy: -34.00 eV per formula unit
# * spin magnetization: 0.00 μB per formula unit
# * energy relative to the elements: 0.89 eV/atom
data_ZnTcW2
_cell_length_a 7.235
_cell_length_b 7.235
_cell_length_c 5.259
_cell_angle_alpha 90.00
_cell_angle_beta 90.00
_cell_angle_gamma 90.00
_symmetry_space_group_name_H-M 'P 1'
_symmetry_Int_Tables_number 1
_symmetry_space_group_name_Hall 'P 1'
loop_
_atom_site_label
_atom_site_type_symbol
_atom_site_fract_x
_atom_site_fract_y
_atom_site_fract_z
_atom_site_occupancy
Zn1 Zn 0.000 0.000 0.000 1
Zn2 Zn 0.000 0.500 0.250 1
Zn3 Zn 0.500 0.000 0.750 1
Zn4 Zn 0.500 0.500 0.500 1
Tc1 Tc 0.000 0.000 0.500 1
Tc2 Tc 0.000 0.500 0.750 1
Tc3 Tc 0.500 0.000 0.250 1
Tc4 Tc 0.500 0.500 0.000 1
W1 W 0.215 0.750 0.625 1
W2 W 0.250 0.215 0.375 1
W3 W 0.250 0.285 0.875 1
W4 W 0.285 0.750 0.125 1
W5 W 0.715 0.250 0.125 1
W6 W 0.750 0.715 0.875 1
W7 W 0.750 0.785 0.375 1
W8 W 0.785 0.250 0.625 1

=====

Record 4
# Zn2TcW | Alexandria | PBE | optimized geometry
# * uncorrected energy: -25.37 eV per formula unit
# * spin magnetization: 0.00 μB per formula unit
# * energy relative to the elements: 0.12 eV/atom
data_Zn2TcW
_cell_length_a 2.710
_cell_length_b 4.332
_cell_length_c 5.110
_cell_angle_alpha 90.00
_cell_angle_beta 97.92
_cell_angle_gamma 90.00
_symmetry_space_group_name_H-M 'P 1'
_symmetry_Int_Tables_number 1
_symmetry_space_group_name_Hall 'P 1'
loop_
_atom_site_label
_atom_site_type_symbol
_atom_site_fract_x
_atom_site_fract_y
_atom_site_fract_z
_atom_site_occupancy
Zn1 Zn 0.000 0.000 0.000 1
Zn2 Zn 0.022 0.500 0.759 1
Tc1 Tc 0.605 0.500 0.258 1
W1 W 0.419 0.000 0.499 1

=====

Record 5
# ZnTcW3 | Alexandria | PBE | optimized geometry
# * uncorrected energy: -40.69 eV per formula unit
# * spin magnetization: 0.00 μB per formula unit
# * energy relative to the elements: 1.96 eV/atom
data_ZnTcW3
_cell_length_a 4.712
_cell_length_b 4.712
_cell_length_c 4.712
_cell_angle_alpha 90.00
_cell_angle_beta 90.00
_cell_angle_gamma 90.00
_symmetry_space_group_name_H-M 'P 1'
_symmetry_Int_Tables_number 1
_symmetry_space_group_name_Hall 'P 1'
loop_
_atom_site_label
_atom_site_type_symbol
_atom_site_fract_x
_atom_site_fract_y
_atom_site_fract_z
_atom_site_occupancy
Zn1 Zn 0.000 0.000 0.000 1
Tc1 Tc 0.500 0.500 0.500 1
W1 W 0.000 0.500 0.500 1
W2 W 0.500 0.000 0.500 1
W3 W 0.500 0.500 0.000 1

=====

Record 6
# Zr2TcW | Alexandria | PBE | optimized geometry
# * uncorrected energy: -39.54 eV per formula unit
# * spin magnetization: 0.00 μB per formula unit
# * energy relative to the elements: 0.22 eV/atom
data_Zr2TcW
_cell_length_a 3.090
_cell_length_b 3.090
_cell_length_c 27.880
_cell_angle_alpha 90.00
_cell_angle_beta 90.00
_cell_angle_gamma 120.00
_symmetry_space_group_name_H-M 'P 1'
_symmetry_Int_Tables_number 1
_symmetry_space_group_name_Hall 'P 1'
loop_
_atom_site_label
_atom_site_type_symbol
_atom_site_fract_x
_atom_site_fract_y
_atom_site_fract_z
_atom_site_occupancy
Zr1 Zr 0.000 0.000 0.000 1
Zr2 Zr 0.000 0.000 0.237 1
Zr3 Zr 0.333 0.667 0.667 1
Zr4 Zr 0.333 0.667 0.903 1
Zr5 Zr 0.667 0.333 0.333 1
Zr6 Zr 0.667 0.333 0.570 1
Tc1 Tc 0.000 0.000 0.750 1
Tc2 Tc 0.333 0.667 0.416 1
Tc3 Tc 0.667 0.333 0.083 1
W1 W 0.000 0.000 0.484 1
W2 W 0.333 0.667 0.150 1
W3 W 0.667 0.333 0.817 1

=====

Record 7
# Zr2TcW | Alexandria | PBE | optimized geometry
# * uncorrected energy: -40.20 eV per formula unit
# * spin magnetization: 0.00 μB per formula unit
# * energy relative to the elements: 0.05 eV/atom
data_Zr2TcW
_cell_length_a 5.862
_cell_length_b 9.034
_cell_length_c 2.964
_cell_angle_alpha 90.00
_cell_angle_beta 111.69
_cell_angle_gamma 90.00
_symmetry_space_group_name_H-M 'P 1'
_symmetry_Int_Tables_number 1
_symmetry_space_group_name_Hall 'P 1'
loop_
_atom_site_label
_atom_site_type_symbol
_atom_site_fract_x
_atom_site_fract_y
_atom_site_fract_z
_atom_site_occupancy
Zr1 Zr 0.250 0.250 0.000 1
Zr2 Zr 0.250 0.750 0.000 1
Zr3 Zr 0.750 0.250 0.000 1
Zr4 Zr 0.750 0.750 0.000 1
Tc1 Tc 0.000 0.000 0.500 1
Tc2 Tc 0.500 0.500 0.500 1
W1 W 0.000 0.500 0.500 1
W2 W 0.500 0.000 0.500 1

=====

Record 8
# ZrTc2W | Alexandria | PBE | optimized geometry
# * uncorrected energy: -43.15 eV per formula unit
# * spin magnetization: 0.00 μB per formula unit
# * energy relative to the elements: -0.23 eV/atom
data_ZrTc2W
_cell_length_a 4.536
_cell_length_b 4.536
_cell_length_c 3.200
_cell_angle_alpha 90.00
_cell_angle_beta 90.00
_cell_angle_gamma 90.00
_symmetry_space_group_name_H-M 'P 1'
_symmetry_Int_Tables_number 1
_symmetry_space_group_name_Hall 'P 1'
loop_
_atom_site_label
_atom_site_type_symbol
_atom_site_fract_x
_atom_site_fract_y
_atom_site_fract_z
_atom_site_occupancy
Zr1 Zr 0.000 0.000 0.000 1
Tc1 Tc 0.000 0.500 0.500 1
Tc2 Tc 0.500 0.000 0.500 1
W1 W 0.500 0.500 0.000 1

=====

Record 9
# Zr2TcW | Alexandria | PBE | optimized geometry
# * uncorrected energy: -40.21 eV per formula unit
# * spin magnetization: 0.00 μB per formula unit
# * energy relative to the elements: 0.05 eV/atom
data_Zr2TcW
_cell_length_a 2.962
_cell_length_b 4.521
_cell_length_c 5.512
_cell_angle_alpha 90.00
_cell_angle_beta 98.90
_cell_angle_gamma 90.00
_symmetry_space_group_name_H-M 'P 1'
_symmetry_Int_Tables_number 1
_symmetry_space_group_name_Hall 'P 1'
loop_
_atom_site_label
_atom_site_type_symbol
_atom_site_fract_x
_atom_site_fract_y
_atom_site_fract_z
_atom_site_occupancy
Zr1 Zr 0.238 0.000 0.253 1
Zr2 Zr 0.762 0.000 0.747 1
Tc1 Tc 0.000 0.500 0.500 1
W1 W 0.500 0.500 0.000 1

=====

Record 10
# ZrTc2W | Alexandria | PBE | optimized geometry
# * uncorrected energy: -42.19 eV per formula unit
# * spin magnetization: 0.00 μB per formula unit
# * energy relative to the elements: 0.01 eV/atom
data_ZrTc2W
_cell_length_a 3.191
_cell_length_b 3.191
_cell_length_c 6.552
_cell_angle_alpha 90.00
_cell_angle_beta 90.00
_cell_angle_gamma 90.00
_symmetry_space_group_name_H-M 'P 1'
_symmetry_Int_Tables_number 1
_symmetry_space_group_name_Hall 'P 1'
loop_
_atom_site_label
_atom_site_type_symbol
_atom_site_fract_x
_atom_site_fract_y
_atom_site_fract_z
_atom_site_occupancy
Zr1 Zr 0.000 0.000 0.000 1
Tc1 Tc 0.000 0.000 0.498 1
Tc2 Tc 0.500 0.500 0.253 1
W1 W 0.500 0.500 0.722 1

=====

Record 11
# Zr2TcW | Alexandria | PBE | optimized geometry
# * uncorrected energy: -40.26 eV per formula unit
# * spin magnetization: 0.00 μB per formula unit
# * energy relative to the elements: 0.04 eV/atom
data_Zr2TcW
_cell_length_a 3.336
_cell_length_b 4.858
_cell_length_c 9.037
_cell_angle_alpha 90.00
_cell_angle_beta 90.00
_cell_angle_gamma 90.00
_symmetry_space_group_name_H-M 'P 1'
_symmetry_Int_Tables_number 1
_symmetry_space_group_name_Hall 'P 1'
loop_
_atom_site_label
_atom_site_type_symbol
_atom_site_fract_x
_atom_site_fract_y
_atom_site_fract_z
_atom_site_occupancy
Zr1 Zr 0.000 0.000 0.240 1
Zr2 Zr 0.000 0.000 0.760 1
Zr3 Zr 0.500 0.500 0.240 1
Zr4 Zr 0.500 0.500 0.760 1
Tc1 Tc 0.000 0.500 0.000 1
Tc2 Tc 0.500 0.000 0.000 1
W1 W 0.000 0.500 0.500 1
W2 W 0.500 0.000 0.500 1

=====

Record 12
# ZrTc2W | Alexandria | PBE | optimized geometry
# * uncorrected energy: -42.17 eV per formula unit
# * spin magnetization: 0.00 μB per formula unit
# * energy relative to the elements: 0.02 eV/atom
data_ZrTc2W
_cell_length_a 3.184
_cell_length_b 4.678
_cell_length_c 8.888
_cell_angle_alpha 90.00
_cell_angle_beta 90.00
_cell_angle_gamma 90.00
_symmetry_space_group_name_H-M 'P 1'
_symmetry_Int_Tables_number 1
_symmetry_space_group_name_Hall 'P 1'
loop_
_atom_site_label
_atom_site_type_symbol
_atom_site_fract_x
_atom_site_fract_y
_atom_site_fract_z
_atom_site_occupancy
Zr1 Zr 0.000 0.000 0.000 1
Zr2 Zr 0.500 0.500 0.000 1
Tc1 Tc 0.000 0.500 0.262 1
Tc2 Tc 0.000 0.500 0.738 1
Tc3 Tc 0.500 0.000 0.262 1
Tc4 Tc 0.500 0.000 0.738 1
W1 W 0.000 0.000 0.500 1
W2 W 0.500 0.500 0.500 1

=====

Record 13
# ZrTc2W | Alexandria | PBE | optimized geometry
# * uncorrected energy: -41.68 eV per formula unit
# * spin magnetization: 0.00 μB per formula unit
# * energy relative to the elements: 0.14 eV/atom
data_ZrTc2W
_cell_length_a 3.174
_cell_length_b 4.623
_cell_length_c 9.049
_cell_angle_alpha 90.00
_cell_angle_beta 90.00
_cell_angle_gamma 90.00
_symmetry_space_group_name_H-M 'P 1'
_symmetry_Int_Tables_number 1
_symmetry_space_group_name_Hall 'P 1'
loop_
_atom_site_label
_atom_site_type_symbol
_atom_site_fract_x
_atom_site_fract_y
_atom_site_fract_z
_atom_site_occupancy
Zr1 Zr 0.000 0.000 0.000 1
Zr2 Zr 0.500 0.500 0.000 1
Tc1 Tc 0.000 0.000 0.492 1
Tc2 Tc 0.000 0.500 0.258 1
Tc3 Tc 0.500 0.000 0.258 1
Tc4 Tc 0.500 0.500 0.492 1
W1 W 0.000 0.500 0.728 1
W2 W 0.500 0.000 0.728 1

=====

Record 14
# Zr3Tc4W | Alexandria | PBE | optimized geometry
# * uncorrected energy: -82.43 eV per formula unit
# * spin magnetization: 0.00 μB per formula unit
# * energy relative to the elements: -0.30 eV/atom
data_Zr3Tc4W
_cell_length_a 3.236
_cell_length_b 3.236
_cell_length_c 13.127
_cell_angle_alpha 90.00
_cell_angle_beta 90.00
_cell_angle_gamma 90.00
_symmetry_space_group_name_H-M 'P 1'
_symmetry_Int_Tables_number 1
_symmetry_space_group_name_Hall 'P 1'
loop_
_atom_site_label
_atom_site_type_symbol
_atom_site_fract_x
_atom_site_fract_y
_atom_site_fract_z
_atom_site_occupancy
Zr1 Zr 0.000 0.000 0.000 1
Zr2 Zr 0.000 0.000 0.252 1
Zr3 Zr 0.000 0.000 0.748 1
Tc1 Tc 0.500 0.500 0.128 1
Tc2 Tc 0.500 0.500 0.385 1
Tc3 Tc 0.500 0.500 0.615 1
Tc4 Tc 0.500 0.500 0.872 1
W1 W 0.000 0.000 0.500 1